First-principles (GGA-PBE) data for a relaxed Cs3CrIr crystal, as listed in the Alexandria database.

Values from the calculation:
- Symmetry: No. 221
- Crystal system: cubic

Lattice parameters (Å, degrees): 6.3280 6.3280 6.3280 90.00 90.00 90.00
Fractional positions:
Ir1 0.0000 0.0000 0.0000
Cs1 0.0000 0.5000 0.0000
Cs2 0.0000 0.0000 0.5000
Cs3 0.5000 0.0000 0.0000
Cr1 0.5000 0.5000 0.5000


First-principles (GGA-PBE) data for a relaxed MgCdPdPt crystal, as listed in the Alexandria database.

Values from the calculation:
- Symmetry: No. 119
- Crystal system: tetragonal
- Excess energy over the best structure of this formula in the dataset: 0 meV per atom

Lattice parameters (Å, degrees): 4.2709 4.2709 4.7650 116.63 116.63 90.00
Fractional positions:
Mg1 0.7500 0.2500 0.5000
Pd1 0.5000 0.5000 0.0000
Pt1 0.0000 0.0000 0.0000
Cd1 0.2500 0.7500 0.5000


Number 1: formation energy from the elements 1093 meV per atom. Number 2: formation energy from the elements -595 meV per atom.